No. 1
The following is a DFT calculation (PBE) of an optimized crystal structure of ThCrN.

Unit cell a=18.4541 b=3.3495 c=3.3624 alpha=90.00 beta=90.00 gamma=90.00
Closest atoms and distances in Å follow each position.
Fractional coordinates of all 12 atoms:
Th 0.1674 0.2500 0.2467  5 N 2.44-2.48
Th 0.3326 0.7500 0.7467  5 N 2.44-2.48
Th 0.6674 0.2500 0.2533  5 N 2.44-2.48
Th 0.8326 0.7500 0.7533  5 N 2.44-2.48
Cr 0.0048 0.2500 0.7500  4 Cr 2.38
Cr 0.4952 0.7500 0.2500  4 Cr 2.38
Cr 0.5048 0.2500 0.7500  4 Cr 2.38
Cr 0.9952 0.7500 0.2500  4 Cr 2.38
N 0.1981 0.7500 0.7466  5 Th 2.44-2.48
N 0.3019 0.2500 0.2466  5 Th 2.44-2.48
N 0.6981 0.7500 0.7534  5 Th 2.44-2.48
N 0.8019 0.2500 0.2534  5 Th 2.44-2.48

The electronic total energy is -106.99 eV/cell.

---

No. 2
The following is a DFT calculation (PBE) of an optimized crystal structure of Zr2RhBr.

Unit cell a=4.9973 b=4.9973 c=3.1988 alpha=97.18 beta=97.18 gamma=99.26
Closest atoms and distances in Å follow each position.
Fractional coordinates of all 4 atoms:
Zr 0.0000 0.5000 0.0000  2 Br 2.79, 2 Rh 2.79
Zr 0.5000 0.0000 0.0000  2 Br 2.79, 2 Rh 2.79
Rh 0.0000 0.0000 0.5000  4 Zr 2.79
Br 0.5000 0.5000 0.5000  4 Zr 2.79

The electronic total energy is -27.45 eV/cell.

---

No. 3
The following is a DFT calculation (PBE) of an optimized crystal structure of CeBe2Ge2.

Unit cell a=6.8973 b=6.8973 c=6.8973 alpha=33.87 beta=33.87 gamma=33.87
Closest atoms and distances in Å follow each position.
Fractional coordinates of all 5 atoms:
Ce 0.0000 0.0000 0.0000  6 Be 3.01, 6 Ge 3.03
Be 0.2352 0.2352 0.2352  3 Ge 2.32
Be 0.7648 0.7648 0.7648  3 Ge 2.32
Ge 0.4336 0.4336 0.4336  3 Be 2.32, 1 Ge 2.59
Ge 0.5664 0.5664 0.5664  3 Be 2.32, 1 Ge 2.59

Its formation enthalpy at 0 K is -0.149 eV per atom. The electronic total energy is -23.36 eV/cell.

---

The lowest electronic total energy belongs to which entry? ThCrN

---

Please write out number 3 again, unchanged.
The following is a DFT calculation (PBE) of an optimized crystal structure of CeBe2Ge2.

Unit cell a=6.8973 b=6.8973 c=6.8973 alpha=33.87 beta=33.87 gamma=33.87
Closest atoms and distances in Å follow each position.
Fractional coordinates of all 5 atoms:
Ce 0.0000 0.0000 0.0000  6 Be 3.01, 6 Ge 3.03
Be 0.2352 0.2352 0.2352  3 Ge 2.32
Be 0.7648 0.7648 0.7648  3 Ge 2.32
Ge 0.4336 0.4336 0.4336  3 Be 2.32, 1 Ge 2.59
Ge 0.5664 0.5664 0.5664  3 Be 2.32, 1 Ge 2.59

Its formation enthalpy at 0 K is -0.149 eV per atom. The electronic total energy is -23.36 eV/cell.